[1]
Computed, not measured: a relaxed structure of ScGa3Rh2 at the GGA-PBE level of DFT.

It has space group P-3m1 (No. 164), with a = 5.9252 Å, b = 5.9252 Å, c = 6.3637 Å, α = 90.00°, β = 90.00° and γ = 120.00°. The distinct sites, in fractional coordinates, are Sc at (0.3333, 0.6667, 0.3355), Ga at (0.1642, 0.3283, 0.6966), Rh at (0.0000, 0.0000, 0.0000) and Rh at (0.0000, 0.5000, 0.0000).

[2]
Computed, not measured: a relaxed structure of Sc5GaRh4 at the GGA-PBE level of DFT.

It has space group P4/mmm (No. 123), with a = 3.252 Å, b = 3.252 Å, c = 16.330 Å, α = 90.00°, β = 90.00° and γ = 90.00°. The distinct sites, in fractional coordinates, are Sc at (0.000, 0.000, 0.000), Sc at (0.000, 0.000, 0.197), Sc at (0.000, 0.000, 0.392), Ga at (0.500, 0.500, 0.500), Rh at (0.500, 0.500, 0.098) and Rh at (0.500, 0.500, 0.297).

[3]
Computed, not measured: a relaxed structure of Sc4Ga2Rh at the GGA-PBE level of DFT.

It has space group I4/mmm (No. 139), with a = 4.978 Å, b = 4.978 Å, c = 13.438 Å, α = 90.00°, β = 90.00° and γ = 90.00°. The distinct sites, in fractional coordinates, are Sc at (0.000, 0.000, 0.187), Sc at (0.000, 0.500, 0.000), Ga at (0.000, 0.000, 0.389) and Rh at (0.000, 0.000, 0.000).

The excess energy over the best structure of this formula in the dataset is 304.8 meV per atom.

[4]
Computed, not measured: a relaxed structure of ScGa2Rh2 at the GGA-PBE level of DFT.

It has space group I4/mmm (No. 139), with a = 4.163 Å, b = 4.163 Å, c = 9.914 Å, α = 90.00°, β = 90.00° and γ = 90.00°. The distinct sites, in fractional coordinates, are Sc at (0.000, 0.000, 0.000), Ga at (0.000, 0.000, 0.378) and Rh at (0.000, 0.500, 0.250).

Formation energy for the records above, in order: -0.564; -0.939; -0.249; -0.660 eV/atom